# PrGe2Pt (PBEsol, optimized geometry)
data_PrGe2Pt
_chemical_formula_sum 'Pr4 Ge8 Pt4'
_cell_length_a 9.587
_cell_length_b 9.587
_cell_length_c 9.587
_cell_angle_alpha 153.42
_cell_angle_beta 125.51
_cell_angle_gamma 61.63
_space_group_name_H-M_alt 'P 1'
_space_group_IT_number 1
_space_group_name_Hall 'P 1'
loop_
_atom_site_label
_atom_site_type_symbol
_atom_site_fract_x
_atom_site_fract_y
_atom_site_fract_z
Pr1 Pr 0.203 0.203 0.000
Pr2 Pr 0.244 0.000 0.244
Pr3 Pr 0.756 0.000 0.756
Pr4 Pr 0.797 0.797 0.000
Ge1 Ge 0.074 0.574 0.500
Ge2 Ge 0.152 0.802 0.350
Ge3 Ge 0.425 0.425 0.000
Ge4 Ge 0.452 0.802 0.650
Ge5 Ge 0.548 0.198 0.350
Ge6 Ge 0.575 0.575 0.000
Ge7 Ge 0.848 0.198 0.650
Ge8 Ge 0.926 0.426 0.500
Pt1 Pt 0.102 0.351 0.752
Pt2 Pt 0.401 0.649 0.752
Pt3 Pt 0.599 0.351 0.248
Pt4 Pt 0.898 0.649 0.248
# formation energy = -0.94 eV/atom
# raw total energy = -6.45 eV per atom
# mass density = 10.04 Mg/m³

=====

# Te2OsRh (PBEsol, optimized geometry)
data_Te2OsRh
_chemical_formula_sum 'Te2 Os1 Rh1'
_cell_length_a 3.262
_cell_length_b 3.262
_cell_length_c 6.728
_cell_angle_alpha 90.00
_cell_angle_beta 90.00
_cell_angle_gamma 90.00
_space_group_name_H-M_alt 'P 1'
_space_group_IT_number 1
_space_group_name_Hall 'P 1'
loop_
_atom_site_label
_atom_site_type_symbol
_atom_site_fract_x
_atom_site_fract_y
_atom_site_fract_z
Te1 Te 0.000 0.000 0.249
Te2 Te 0.000 0.000 0.751
Os1 Os 0.500 0.500 0.500
Rh1 Rh 0.500 0.500 0.000
# raw total energy = -6.40 eV per atom
# mass density = 12.72 Mg/m³
# energy relative to the elements, uncorrected = 0.448 eV per atom

=====

# CdRu2W (PBEsol, optimized geometry)
data_CdRu2W
_chemical_formula_sum 'Cd1 Ru2 W1'
_cell_length_a 3.317
_cell_length_b 3.317
_cell_length_c 5.756
_cell_angle_alpha 90.00
_cell_angle_beta 90.00
_cell_angle_gamma 90.00
_space_group_name_H-M_alt 'P 1'
_space_group_IT_number 1
_space_group_name_Hall 'P 1'
loop_
_atom_site_label
_atom_site_type_symbol
_atom_site_fract_x
_atom_site_fract_y
_atom_site_fract_z
Cd1 Cd 0.000 0.000 0.000
Ru1 Ru 0.000 0.000 0.510
Ru2 Ru 0.500 0.500 0.257
W1 W 0.500 0.500 0.686
# formation energy = 0.58 eV/atom
# raw total energy = -8.26 eV per atom
# mass density = 13.06 Mg/m³

=====

# CaCu4Ag (PBEsol, optimized geometry)
data_CaCu4Ag
_chemical_formula_sum 'Ca1 Cu4 Ag1'
_cell_length_a 4.984
_cell_length_b 4.984
_cell_length_c 4.984
_cell_angle_alpha 60.00
_cell_angle_beta 60.00
_cell_angle_gamma 60.00
_space_group_name_H-M_alt 'P 1'
_space_group_IT_number 1
_space_group_name_Hall 'P 1'
loop_
_atom_site_label
_atom_site_type_symbol
_atom_site_fract_x
_atom_site_fract_y
_atom_site_fract_z
Ca1 Ca 0.000 0.000 0.000
Cu1 Cu 0.376 0.376 0.376
Cu2 Cu 0.376 0.376 0.872
Cu3 Cu 0.376 0.872 0.376
Cu4 Cu 0.872 0.376 0.376
Ag1 Ag 0.750 0.750 0.750
# formation energy = -0.11 eV/atom
# raw total energy = -3.91 eV per atom
# mass density = 7.63 Mg/m³

=====

# Ru3Rh (PBEsol, optimized geometry)
data_Ru3Rh
_chemical_formula_sum 'Ru9 Rh3'
_cell_length_a 2.663
_cell_length_b 2.663
_cell_length_c 26.092
_cell_angle_alpha 90.00
_cell_angle_beta 90.00
_cell_angle_gamma 120.00
_space_group_name_H-M_alt 'P 1'
_space_group_IT_number 1
_space_group_name_Hall 'P 1'
loop_
_atom_site_label
_atom_site_type_symbol
_atom_site_fract_x
_atom_site_fract_y
_atom_site_fract_z
Ru1 Ru 0.000 0.000 0.000
Ru2 Ru 0.000 0.000 0.251
Ru3 Ru 0.000 0.000 0.749
Ru4 Ru 0.333 0.667 0.416
Ru5 Ru 0.333 0.667 0.667
Ru6 Ru 0.333 0.667 0.918
Ru7 Ru 0.667 0.333 0.082
Ru8 Ru 0.667 0.333 0.333
Ru9 Ru 0.667 0.333 0.584
Rh1 Rh 0.000 0.000 0.500
Rh2 Rh 0.333 0.667 0.167
Rh3 Rh 0.667 0.333 0.833
# formation energy = 0.08 eV/atom
# raw total energy = -9.59 eV per atom
# mass density = 12.62 Mg/m³

=====

# Ca2SnSbF (PBEsol, optimized geometry)
data_Ca2SnSbF
_chemical_formula_sum 'Ca2 Sn1 Sb1 F1'
_cell_length_a 5.962
_cell_length_b 5.962
_cell_length_c 5.344
_cell_angle_alpha 90.00
_cell_angle_beta 90.00
_cell_angle_gamma 90.00
_space_group_name_H-M_alt 'P 1'
_space_group_IT_number 1
_space_group_name_Hall 'P 1'
loop_
_atom_site_label
_atom_site_type_symbol
_atom_site_fract_x
_atom_site_fract_y
_atom_site_fract_z
Ca1 Ca 0.000 0.500 0.000
Ca2 Ca 0.500 0.000 0.000
Sn1 Sn 0.000 0.000 0.000
Sb1 Sb 0.000 0.000 0.500
F1 F 0.500 0.500 0.500
# raw total energy = -3.38 eV per atom
# mass density = 2.97 Mg/m³
# energy relative to the elements, uncorrected = -0.379 eV per atom

=====

Q: What is the formula in the first record?
A: PrGe2Pt

=====

Q: Which of these has the lowest raw total energy?
A: Ru3Rh